First-principles (GGA-PBE) data for a geometry-optimized Cs2TcBr6 structure, as listed in OQMD.

Cell and atoms, written as extended XYZ:
```
9
Lattice="5.297 -4.039 3.970 -5.181 -5.586 1.444 1.422 2.257 -7.281" Properties=species:S:1:pos:R:3 pbc="T T T"
Br 0.027 -2.213 1.245
Br 0.089 -7.412 4.169
Br 2.897 -4.465 3.265
Br 0.824 -1.169 -2.096
Br 0.714 -6.198 0.229
Br -1.359 -2.903 -5.131
Cs 3.388 -3.297 -0.302
Cs -1.850 -4.071 -1.565
Tc 0.000 0.000 0.000
```

Computed properties:
Electronic total energy: -32.0 eV/cell
SG: I4/m (87)